No. 1
NiSbF2 after structural relaxation, computed with PBE with a Hubbard U.

Properties
VASP energy, eV/atom: -3.505
ρ, g cm⁻³: 5.59
Crystal system: trigonal
Density of states at the Fermi level, states/eV/cell: 2.92

Cell lengths 3.1142, 3.1142, 23.1964 Å; angles 90.00, 90.00, 120.00 degrees
Space group R-3m (No. 166, hexagonal axes)
Symmetry-distinct sites (fractional):
Ni: 0.0000 0.0000 0.0000
Sb: 0.0000 0.0000 0.5000
F: 0.0000 0.0000 0.0830

---

No. 2
NiSbF2 after structural relaxation, computed with PBE with a Hubbard U.

Properties
VASP energy, eV/atom: -4.017
ρ, g cm⁻³: 4.71
Crystal system: trigonal
Density of states at the Fermi level, states/eV/cell: 2.88

Cell lengths 3.1182, 3.1182, 27.4140 Å; angles 90.00, 90.00, 120.00 degrees
Space group R-3m (No. 166, hexagonal axes)
Symmetry-distinct sites (fractional):
Ni: 0.0000 0.0000 0.0000
Sb: 0.0000 0.0000 0.5000
F: 0.0000 0.0000 0.3688

---

No. 3
NiSbF2 after structural relaxation, computed with PBE with a Hubbard U.

Properties
VASP energy, eV/atom: -3.085
ρ, g cm⁻³: 6.17
Crystal system: cubic
Density of states at the Fermi level, states/eV/cell: 9.80

Cell lengths 6.173, 6.173, 6.173 Å; angles 90.00, 90.00, 90.00 degrees
Space group Fm-3m (No. 225)
Symmetry-distinct sites (fractional):
Ni: 0.000 0.000 0.000
Sb: 0.000 0.000 0.500
F: 0.250 0.250 0.250

---

No. 4
NiSbF2 after structural relaxation, computed with PBE with a Hubbard U.

Properties
VASP energy, eV/atom: -3.543
ρ, g cm⁻³: 4.61
Crystal system: tetragonal
Density of states at the Fermi level, states/eV/cell: 1.76

Cell lengths 5.745, 5.745, 9.538 Å; angles 90.00, 90.00, 90.00 degrees
Space group I-42d (No. 122)
Symmetry-distinct sites (fractional):
Ni: 0.000 0.000 0.000
Sb: 0.000 0.000 0.500
F: 0.058 0.250 0.125

---

No. 5
Ni2SbF after structural relaxation, computed with PBE with a Hubbard U.

Properties
VASP energy, eV/atom: -2.457
ρ, g cm⁻³: 8.09
Crystal system: cubic
Density of states at the Fermi level, states/eV/cell: 9.60

Cell lengths 5.961, 5.961, 5.961 Å; angles 90.00, 90.00, 90.00 degrees
Space group Fm-3m (No. 225)
Symmetry-distinct sites (fractional):
Ni: 0.250 0.250 0.250
Sb: 0.000 0.000 0.000
F: 0.000 0.000 0.500

---

No. 6
Ni3SbF after structural relaxation, computed with PBE with a Hubbard U.

Properties
VASP energy, eV/atom: -2.152
ρ, g cm⁻³: 4.56
Crystal system: cubic
Density of states at the Fermi level, states/eV/cell: 9.17

Cell lengths 4.867, 4.867, 4.867 Å; angles 90.00, 90.00, 90.00 degrees
Space group Pm-3m (No. 221)
Symmetry-distinct sites (fractional):
Ni: 0.000 0.000 0.500
Sb: 0.000 0.000 0.000
F: 0.500 0.500 0.500

---

No. 7
Ni2SbF after structural relaxation, computed with PBE with a Hubbard U.

Properties
VASP energy, eV/atom: -2.934
ρ, g cm⁻³: 6.53
Crystal system: tetragonal
Density of states at the Fermi level, states/eV/cell: 2.16

Cell lengths 6.263, 6.263, 6.689 Å; angles 90.00, 90.00, 90.00 degrees
Space group I-42d (No. 122)
Symmetry-distinct sites (fractional):
Ni: 0.187 0.250 0.125
Sb: 0.000 0.000 0.500
F: 0.000 0.000 0.000

---

No. 8
NiSbF5 after structural relaxation, computed with PBE with a Hubbard U.

Properties
VASP energy, eV/atom: -4.498
ρ, g cm⁻³: 4.46
Crystal system: triclinic
Density of states at the Fermi level, states/eV/cell: 0.00

Cell lengths 5.233, 5.842, 7.387 Å; angles 77.29, 74.40, 72.40 degrees
Space group P-1 (No. 2)
Symmetry-distinct sites (fractional):
Ni: 0.000 0.000 0.000
Ni: 0.500 0.000 0.500
Sb: 0.104 0.601 0.715
F: 0.135 0.646 0.115
F: 0.189 0.154 0.135
F: 0.190 0.310 0.444
F: 0.291 0.918 0.767
F: 0.297 0.789 0.452

---

No. 9
NiSb2F8 after structural relaxation, computed with PBE with a Hubbard U.

Properties
VASP energy, eV/atom: -4.611
ρ, g cm⁻³: 3.89
Crystal system: monoclinic
Density of states at the Fermi level, states/eV/cell: 0.00

Cell lengths 11.716, 7.986, 9.729 Å; angles 90.00, 121.54, 90.00 degrees
Space group C2/c (No. 15)
Symmetry-distinct sites (fractional):
Ni: 0.000 0.165 0.250
Sb: 0.222 0.047 0.642
F: 0.081 0.147 0.114
F: 0.131 0.340 0.394
F: 0.142 0.008 0.906
F: 0.156 0.361 0.779

---

No. 10
Ta2NiSbF after structural relaxation, computed with PBE with a Hubbard U.

Properties
VASP energy, eV/atom: -5.921
ρ, g cm⁻³: 10.59
Crystal system: tetragonal
Density of states at the Fermi level, states/eV/cell: 3.75

Cell lengths 4.892, 4.892, 3.680 Å; angles 90.00, 90.00, 90.00 degrees
Space group P4/mmm (No. 123)
Symmetry-distinct sites (fractional):
Ta: 0.000 0.500 0.000
Ni: 0.000 0.000 0.000
Sb: 0.500 0.500 0.500
F: 0.000 0.000 0.500

---

No. 11
Tl2NiSbF6 after structural relaxation, computed with PBE with a Hubbard U.

Properties
VASP energy, eV/atom: -4.098
ρ, g cm⁻³: 6.42
Crystal system: triclinic

Cell lengths 6.048, 6.048, 6.551 Å; angles 62.58, 62.58, 90.00 degrees
Space group P-1 (No. 2)
Symmetry-distinct sites (fractional):
Tl: 0.249 0.251 0.000
Ni: 0.000 0.500 0.500
Sb: 0.500 0.000 0.500
F: 0.242 0.257 0.502
F: 0.243 0.743 0.499
F: 0.278 0.777 0.943

---

No. 12
ZrNiSbF2 after structural relaxation, computed with PBE with a Hubbard U.

Properties
VASP energy, eV/atom: -5.030
ρ, g cm⁻³: 5.80
Crystal system: tetragonal
Density of states at the Fermi level, states/eV/cell: 2.58

Cell lengths 4.068, 4.068, 5.354 Å; angles 90.00, 90.00, 90.00 degrees
Space group P4/mmm (No. 123)
Symmetry-distinct sites (fractional):
Zr: 0.000 0.000 0.000
Ni: 0.000 0.000 0.500
Sb: 0.500 0.500 0.500
F: 0.000 0.500 0.000

---

No. 13
ScNi2F after structural relaxation, computed with PBE with a Hubbard U.

Properties
VASP energy, eV/atom: -2.992
ρ, g cm⁻³: 5.81
Crystal system: cubic
Density of states at the Fermi level, states/eV/cell: 6.33

Cell lengths 5.919, 5.919, 5.919 Å; angles 90.00, 90.00, 90.00 degrees
Space group Fm-3m (No. 225)
Symmetry-distinct sites (fractional):
Sc: 0.000 0.000 0.000
Ni: 0.250 0.250 0.250
F: 0.000 0.000 0.500

---

No. 14
ScNi2F after structural relaxation, computed with PBE with a Hubbard U.

Properties
VASP energy, eV/atom: -3.380
ρ, g cm⁻³: 5.56
Crystal system: tetragonal
Density of states at the Fermi level, states/eV/cell: 1.21

Cell lengths 7.136, 7.136, 4.257 Å; angles 90.00, 90.00, 90.00 degrees
Space group I-42d (No. 122)
Symmetry-distinct sites (fractional):
Sc: 0.000 0.000 0.000
Ni: 0.200 0.250 0.625
F: 0.000 0.000 0.500

---

No. 15
ScNiF5 after structural relaxation, computed with PBE with a Hubbard U.

Properties
VASP energy, eV/atom: -5.766
ρ, g cm⁻³: 3.58
Crystal system: monoclinic
Density of states at the Fermi level, states/eV/cell: 0.00

Cell lengths 8.662, 6.426, 7.270 Å; angles 90.00, 114.40, 90.00 degrees
Space group C2/c (No. 15)
Symmetry-distinct sites (fractional):
Sc: 0.000 0.046 0.250
Ni: 0.000 0.500 0.000
F: 0.000 0.376 0.250
F: 0.012 0.184 0.957
F: 0.250 0.034 0.367

---

No. 16
Sc2NiF2 after structural relaxation, computed with PBE with a Hubbard U.

Properties
VASP energy, eV/atom: -5.100
ρ, g cm⁻³: 4.73
Crystal system: tetragonal
Density of states at the Fermi level, states/eV/cell: 4.02

Cell lengths 6.972, 6.972, 2.693 Å; angles 90.00, 90.00, 90.00 degrees
Space group P4/mbm (No. 127)
Symmetry-distinct sites (fractional):
Sc: 0.188 0.312 0.000
Ni: 0.000 0.000 0.000
F: 0.117 0.617 0.500

---

No. 17
Sc2NiF8 after structural relaxation, computed with PBE with a Hubbard U.

Properties
VASP energy, eV/atom: -5.995
ρ, g cm⁻³: 2.91
Crystal system: monoclinic
Density of states at the Fermi level, states/eV/cell: 0.00

Cell lengths 17.919, 4.770, 4.066 Å; angles 90.00, 99.73, 90.00 degrees
Space group C2/m (No. 12)
Symmetry-distinct sites (fractional):
Sc: 0.170 0.000 0.440
Ni: 0.000 0.000 0.500
F: 0.077 0.248 0.395
F: 0.173 0.000 0.945
F: 0.215 0.500 0.467

---

No. 18
Sc2Ni4F after structural relaxation, computed with PBE with a Hubbard U.

Properties
VASP energy, eV/atom: -3.218
ρ, g cm⁻³: 5.23
Crystal system: tetragonal
Density of states at the Fermi level, states/eV/cell: 3.93

Cell lengths 3.878, 3.878, 14.528 Å; angles 90.00, 90.00, 90.00 degrees
Space group I4/mmm (No. 139)
Symmetry-distinct sites (fractional):
Sc: 0.000 0.000 0.177
Ni: 0.000 0.000 0.346
Ni: 0.000 0.500 0.000
F: 0.000 0.000 0.500

---

No. 19
ScTaNiF2 after structural relaxation, computed with PBE with a Hubbard U.

Properties
VASP energy, eV/atom: -5.106
ρ, g cm⁻³: 6.35
Crystal system: tetragonal
Density of states at the Fermi level, states/eV/cell: 4.31

Cell lengths 3.988, 3.988, 5.304 Å; angles 90.00, 90.00, 90.00 degrees
Space group P4/mmm (No. 123)
Symmetry-distinct sites (fractional):
Sc: 0.000 0.000 0.000
Ta: 0.500 0.500 0.000
Ni: 0.500 0.500 0.500
F: 0.000 0.500 0.500

---

No. 20
ScTl2Ni3F12 after structural relaxation, computed with PBE with a Hubbard U.

Properties
VASP energy, eV/atom: -4.693
ρ, g cm⁻³: 5.07
Crystal system: trigonal
Density of states at the Fermi level, states/eV/cell: 4.07

Cell lengths 7.2414, 7.2414, 18.5634 Å; angles 90.00, 90.00, 120.00 degrees
Space group R-3m (No. 166, hexagonal axes)
Symmetry-distinct sites (fractional):
Sc: 0.0000 0.0000 0.0000
Tl: 0.0000 0.0000 0.3866
Ni: 0.0000 0.5000 0.5000
F: 0.0626 0.5313 0.6068
F: 0.0700 0.5350 0.8523